[1]
Here is a geometry-optimized MnZn3Ni6 structure from the Alexandria database. Energies are from PBE-GGA.

Calculated density in g/cm³: 8.4
Formation energy from the elements in eV/atom: -0.14

a = 6.8620 Å, b = 4.1601 Å, c = 8.8832 Å
α = 90.00°, β = 110.54°, γ = 90.00°
Space group P2_1/m (No. 11)
Unique sites:
Mn 0.0444 0.2500 0.4134
Zn 0.2326 0.2500 0.0174
Zn 0.3582 0.7500 0.7845
Zn 0.4488 0.2500 0.6194
Ni 0.0579 0.7500 0.8802
Ni 0.1386 0.2500 0.7158
Ni 0.1577 0.7500 0.1851
Ni 0.2556 0.7500 0.4820
Ni 0.3362 0.2500 0.3168
Ni 0.4565 0.7500 0.0803

[2]
Here is a geometry-optimized BaTaReAu2 structure from the Alexandria database. Energies are from PBE-GGA.

Calculated density in g/cm³: 10.1
Formation energy from the elements in eV/atom: 2.85

a = 5.3440 Å, b = 5.3440 Å, c = 5.1871 Å
α = 90.00°, β = 90.00°, γ = 90.00°
Space group P4/mmm (No. 123)
Unique sites:
Ba 0.0000 0.0000 0.0000
Ta 0.5000 0.5000 0.5000
Re 0.0000 0.0000 0.5000
Au 0.0000 0.5000 0.0000